Version A
An optimized crystal structure of BaMgAs, computed with PBE-GGA.

```
BaMgAs
1.0
0.000 3.783 3.783
3.783 0.000 3.783
3.783 3.783 0.000
Ba Mg As
1 1 1
Cartesian
0.000 0.000 0.000
5.675 5.675 5.675
1.892 1.892 1.892
```

Volume   36.10 Å³ per atom

Version B
An optimized crystal structure of BaMgAs, computed with PBE-GGA.

```
BaMgAs
1.0
-1.928 1.928 5.935
1.928 -1.928 5.935
1.928 1.928 -5.935
Ba Mg As
1 1 1
Cartesian
0.000 0.000 0.000
0.000 0.000 8.571
0.000 0.000 3.531
```

Volume   29.43 Å³ per atom

Computed relative energies in units of kJ/mol of atoms: version A 33.9; version B 0.0

Version A
An optimized crystal structure of BaMgAs, computed with PBE-GGA.

```
BaMgAs
1.0
0.000 3.686 3.686
3.686 0.000 3.686
3.686 3.686 0.000
Ba Mg As
1 1 1
Cartesian
0.000 0.000 0.000
3.686 3.686 3.686
1.843 1.843 1.843
```

Volume   33.38 Å³ per atom

Version B
An optimized crystal structure of BaMgAs, computed with PBE-GGA.

```
BaMgAs
1.0
4.384 0.000 0.000
0.000 4.384 0.000
0.000 0.000 10.408
Ba Mg As
2 2 2
Cartesian
1.096 1.096 1.972
3.288 3.288 8.437
1.096 3.288 5.204
3.288 1.096 5.204
1.096 1.096 6.812
3.288 3.288 3.596
```

Volume   33.34 Å³ per atom

Computed relative energies in units of kJ/mol of atoms: version A 26.8; version B 0.0

Version A
An optimized crystal structure of BaMgAsSe2, computed with PBE-GGA.

```
BaMgAsSe2
1.0
5.942 0.000 0.000
0.000 5.942 0.000
0.000 0.000 5.819
Ba Mg As Se
1 1 1 2
Cartesian
0.000 0.000 0.000
2.971 2.971 2.909
0.000 0.000 2.909
0.000 2.971 0.000
2.971 0.000 0.000
```

Volume   41.09 Å³ per atom

Version B
An optimized crystal structure of BaMgAsSe2, computed with PBE-GGA.

```
BaMgAsSe2
1.0
5.299 0.000 0.000
0.000 5.299 0.000
0.000 0.000 4.974
Ba Mg As Se
1 1 1 2
Cartesian
0.000 0.000 0.000
2.649 2.649 2.487
2.649 2.649 0.000
0.000 2.649 2.487
2.649 0.000 2.487
```

Volume   27.93 Å³ per atom

Computed relative energies in units of kJ/mol of atoms: version A 114.3; version B 0.0